Computed, not measured: an optimized crystal structure of Li3MoF at the PBE+U level of DFT.

a = 4.3524 Å, b = 4.3524 Å, c = 4.3524 Å
α = 90.00°, β = 90.00°, γ = 90.00°
Positions (direct):
Li 0.0000 0.0000 0.5000
Li 0.0000 0.5000 0.0000
Li 0.5000 0.0000 0.0000
Mo 0.5000 0.5000 0.5000
F 0.0000 0.0000 0.0000

Crystal system = cubic
Magnetization = 5.54 μB/cell
Total DFT energy (no corrections) = -3.48 eV per atom